# CdCoO2

A relaxed structure of CdCoO2 (PBE with a Hubbard U, Alexandria via LeMat-Bulk).

The structure in POSCAR format:
```
CdCoO2
1.0
0.270 7.071 -0.493
-2.249 1.145 -1.474
-0.320 -0.959 2.742
O Cd Co
2 1 1
Cartesian
-0.745 2.045 1.440
-1.554 5.213 -0.664
0.000 0.000 0.000
-1.149 3.629 0.388
```

Values from the calculation:
E_tot = -4.68 eV per atom
Magnetic moment = 0.00 μB per formula unit